Density functional theory data (PBE-GGA) for crystalline Tb4TcSe at its relaxed geometry.

Calculated values
Total energy ... -0.21274 hartree per atom

a b c (Å): 8.370 8.370 8.370
angles (deg): 34.06 34.06 34.06
Fractional coordinates of all 6 atoms:
Tb1 0.882 0.882 0.882
Tb2 0.633 0.633 0.633
Se1 0.500 0.500 0.500
Tc1 0.000 0.000 0.000
Tb3 0.118 0.118 0.118
Tb4 0.367 0.367 0.367



Density functional theory data (PBE-GGA) for crystalline Tb3ThSe6 at its relaxed geometry.

Calculated values
Total energy ... -0.22275 hartree per atom

a b c (Å): 11.618 4.106 11.928
angles (deg): 90.00 108.45 90.00
Fractional coordinates of all 20 atoms:
Se1 0.605 0.750 0.437
Se2 0.482 0.250 0.117
Th1 0.046 0.250 0.196
Se3 0.192 0.750 0.752
Tb1 0.679 0.250 0.001
Tb2 0.159 0.250 0.580
Se4 0.083 0.750 0.402
Se5 0.917 0.250 0.598
Tb3 0.431 0.250 0.334
Se6 0.395 0.250 0.563
Se7 0.884 0.750 0.033
Tb4 0.841 0.750 0.420
Se8 0.518 0.750 0.883
Se9 0.745 0.250 0.776
Tb5 0.569 0.750 0.666
Se10 0.255 0.750 0.224
Se11 0.808 0.250 0.248
Th2 0.954 0.750 0.804
Tb6 0.321 0.750 0.999
Se12 0.116 0.250 0.967